Below is a relaxed SrSi4Pt4 crystal, with properties calculated at the PBE level.

Cell lengths 6.4064, 6.4064, 6.4064 Å; angles 97.71, 97.71, 137.04 degrees
Closest atoms and distances in Å follow each position.
Atoms (fractional coordinates):
Pt 0.3223 0.8275 0.1508  5 Si 2.45-2.51
Pt 0.1714 0.3223 0.4948  5 Si 2.45-2.51
Pt 0.8275 0.6767 0.5052  5 Si 2.45-2.51
Pt 0.6767 0.1714 0.8492  5 Si 2.45-2.51
Si 0.8844 0.3839 0.2693  5 Pt 2.45-2.51
Si 0.3839 0.1147 0.4996  5 Pt 2.45-2.51
Si 0.6151 0.8844 0.5004  5 Pt 2.45-2.51
Si 0.1147 0.6151 0.7307  5 Pt 2.45-2.51
Sr 0.7040 0.7040 0.0000  8 Pt 3.29-3.38, 8 Si 3.52-3.66

Results
Final energy = -6.12 eV/atom
V = 18.5 A^3/atom
Symmetry = I4

Below is a relaxed TaSiPt crystal, with properties calculated at the PBE level.

Cell lengths 4.3088, 4.3088, 4.3088 Å; angles 60.00, 60.00, 60.00 degrees
Closest atoms and distances in Å follow each position.
Atoms (fractional coordinates):
Pt 0.2500 0.2500 0.2500  4 Ta 2.64
Si 0.7500 0.7500 0.7500  4 Ta 2.64
Ta 0.0000 0.0000 0.0000  4 Si 2.64, 4 Pt 2.64

Results
Final energy = -7.86 eV/atom
V = 18.9 A^3/atom
Symmetry = F-43m

Below is a relaxed TaSiPt crystal, with properties calculated at the PBE level.

Cell lengths 5.0175, 3.9823, 9.7284 Å; angles 90.00, 90.00, 90.00 degrees
Closest atoms and distances in Å follow each position.
Atoms (fractional coordinates):
Pt 0.2979 0.7500 0.0254  3 Si 2.50-2.67, 3 Ta 2.74-2.80
Pt 0.7979 0.7500 0.4746  3 Si 2.50-2.67, 3 Ta 2.74-2.80
Pt 0.2021 0.2500 0.5254  3 Si 2.50-2.67, 3 Ta 2.74-2.80
Pt 0.7021 0.2500 0.9746  3 Si 2.50-2.67, 3 Ta 2.74-2.80
Si 0.1141 0.2500 0.1481  3 Pt 2.50-2.67, 4 Ta 2.67-2.74
Si 0.6141 0.2500 0.3519  3 Pt 2.50-2.67, 4 Ta 2.67-2.74
Si 0.3859 0.7500 0.6481  3 Pt 2.50-2.67, 4 Ta 2.67-2.74
Si 0.8859 0.7500 0.8519  3 Pt 2.50-2.67, 4 Ta 2.67-2.74
Ta 0.7620 0.7500 0.1739  4 Si 2.67-2.74, 4 Pt 2.74-2.93, 2 Ta 2.91
Ta 0.2620 0.7500 0.3261  4 Si 2.67-2.74, 4 Pt 2.74-2.93, 2 Ta 2.91
Ta 0.7380 0.2500 0.6739  4 Si 2.67-2.74, 4 Pt 2.74-2.93, 2 Ta 2.91
Ta 0.2380 0.2500 0.8261  4 Si 2.67-2.74, 4 Pt 2.74-2.93, 2 Ta 2.91

Results
Final energy = -8.22 eV/atom
V = 16.2 A^3/atom
Symmetry = Pnma

Below is a relaxed Ta2Si3Pt2 crystal, with properties calculated at the PBE level.

Cell lengths 8.3000, 8.3000, 8.3000 Å; angles 28.42, 28.42, 28.42 degrees
Closest atoms and distances in Å follow each position.
Atoms (fractional coordinates):
Pt 0.4988 0.4988 0.4988  4 Si 2.43-2.69
Pt 0.9993 0.9993 0.9993  6 Si 2.47-2.68
Si 0.3860 0.3860 0.3860  3 Ta 2.48, 4 Pt 2.68-2.69
Si 0.6350 0.6350 0.6350  3 Pt 2.47, 3 Ta 2.69
Si 0.8571 0.8571 0.8571  3 Pt 2.43, 4 Ta 2.52-2.71
Ta 0.2471 0.2471 0.2471  6 Si 2.69-2.71
Ta 0.7517 0.7517 0.7517  4 Si 2.48-2.52

Results
Final energy = -7.69 eV/atom
V = 16.4 A^3/atom
Symmetry = R3m

Below is a relaxed TaSiPt2 crystal, with properties calculated at the PBE level.

Cell lengths 4.4564, 4.4564, 4.4564 Å; angles 60.00, 60.00, 60.00 degrees
Closest atoms and distances in Å follow each position.
Atoms (fractional coordinates):
Pt 0.0000 0.0000 0.0000  4 Pt 2.73, 4 Ta 2.73
Pt 0.7500 0.7500 0.7500  4 Si 2.73, 4 Pt 2.73
Si 0.5000 0.5000 0.5000  4 Pt 2.73, 4 Ta 2.73
Ta 0.2500 0.2500 0.2500  4 Pt 2.73, 4 Si 2.73

Results
Final energy = -7.71 eV/atom
V = 15.6 A^3/atom
Symmetry = F-43m

Below is a relaxed Ta2Si2Pt crystal, with properties calculated at the PBE level.

Cell lengths 6.9956, 6.9956, 6.9956 Å; angles 150.93, 150.93, 41.57 degrees
Closest atoms and distances in Å follow each position.
Atoms (fractional coordinates):
Pt 0.0000 0.0000 0.0000  8 Ta 2.83
Si 0.7500 0.2500 0.5000  4 Si 2.48, 4 Ta 2.60
Si 0.2500 0.7500 0.5000  4 Si 2.48, 4 Ta 2.60
Ta 0.3968 0.3968 0.0000  4 Si 2.60, 1 Ta 2.70, 4 Pt 2.83
Ta 0.6032 0.6032 0.0000  4 Si 2.60, 1 Ta 2.70, 4 Pt 2.83

Results
Final energy = -8.26 eV/atom
V = 16.1 A^3/atom
Symmetry = I4/mmm

Below is a relaxed TaSiPt crystal, with properties calculated at the PBE level.

Cell lengths 6.6253, 6.6253, 3.8093 Å; angles 90.00, 90.00, 120.00 degrees
Closest atoms and distances in Å follow each position.
Atoms (fractional coordinates):
Pt 0.6667 0.3333 0.0000  3 Si 2.44
Pt 0.3333 0.6667 0.0000  3 Si 2.44
Pt 0.0000 0.0000 0.5000  6 Si 2.62, 3 Ta 2.62
Si 0.2720 0.0000 0.0000  4 Pt 2.44-2.62
Si 0.0000 0.2720 0.0000  4 Pt 2.44-2.62
Si 0.7280 0.7280 0.0000  4 Pt 2.44-2.62
Ta 0.6040 0.0000 0.5000  5 Pt 2.62-2.79, 2 Si 2.91
Ta 0.3960 0.3960 0.5000  5 Pt 2.62-2.79, 2 Si 2.91
Ta 0.0000 0.6040 0.5000  5 Pt 2.62-2.79, 2 Si 2.91

Results
Final energy = -8.20 eV/atom
V = 16.1 A^3/atom
Symmetry = P-62m

Below is a relaxed TaSiPt crystal, with properties calculated at the PBE level.

Cell lengths 6.4554, 3.8388, 7.4420 Å; angles 90.00, 90.00, 90.00 degrees
Closest atoms and distances in Å follow each position.
Atoms (fractional coordinates):
Pt 0.3463 0.7500 0.0692  4 Si 2.40-2.51
Pt 0.8463 0.7500 0.4308  4 Si 2.40-2.51
Pt 0.1537 0.2500 0.5692  4 Si 2.40-2.51
Pt 0.6537 0.2500 0.9308  4 Si 2.40-2.51
Si 0.7301 0.7500 0.1251  4 Pt 2.40-2.51, 1 Ta 2.66
Si 0.2301 0.7500 0.3749  4 Pt 2.40-2.51, 1 Ta 2.66
Si 0.7699 0.2500 0.6251  4 Pt 2.40-2.51, 1 Ta 2.66
Si 0.2699 0.2500 0.8749  4 Pt 2.40-2.51, 1 Ta 2.66
Ta 0.0252 0.2500 0.1632  5 Si 2.66-2.81, 3 Pt 2.91-2.96
Ta 0.5252 0.2500 0.3368  5 Si 2.66-2.81, 3 Pt 2.91-2.96
Ta 0.4748 0.7500 0.6632  5 Si 2.66-2.81, 3 Pt 2.91-2.96
Ta 0.9748 0.7500 0.8368  5 Si 2.66-2.81, 3 Pt 2.91-2.96

Results
Final energy = -8.49 eV/atom
V = 15.4 A^3/atom
Symmetry = Pnma

Below is a relaxed Ta2SiPt crystal, with properties calculated at the PBE level.

Cell lengths 4.5173, 4.5173, 4.5173 Å; angles 60.00, 60.00, 60.00 degrees
Closest atoms and distances in Å follow each position.
Atoms (fractional coordinates):
Pt 0.2500 0.2500 0.2500  4 Si 2.77, 4 Ta 2.77
Si 0.5000 0.5000 0.5000  4 Pt 2.77, 4 Ta 2.77
Ta 0.0000 0.0000 0.0000  4 Ta 2.77, 4 Pt 2.77
Ta 0.7500 0.7500 0.7500  4 Ta 2.77, 4 Si 2.77

Results
Final energy = -8.82 eV/atom
V = 16.3 A^3/atom
Symmetry = F-43m

Below is a relaxed TaSiPt crystal, with properties calculated at the PBE level.

Cell lengths 6.4239, 6.4239, 3.8835 Å; angles 90.00, 90.00, 120.00 degrees
Closest atoms and distances in Å follow each position.
Atoms (fractional coordinates):
Pt 0.2647 0.0000 0.0000  4 Si 2.39-2.58
Pt 0.0000 0.2647 0.0000  4 Si 2.39-2.58
Pt 0.7353 0.7353 0.0000  4 Si 2.39-2.58
Si 0.6667 0.3333 0.0000  3 Pt 2.39
Si 0.3333 0.6667 0.0000  3 Pt 2.39
Si 0.0000 0.0000 0.5000  6 Pt 2.58, 3 Ta 2.62
Ta 0.5922 0.0000 0.5000  5 Si 2.62-2.75, 2 Pt 2.86
Ta 0.4078 0.4078 0.5000  5 Si 2.62-2.75, 2 Pt 2.86
Ta 0.0000 0.5922 0.5000  5 Si 2.62-2.75, 2 Pt 2.86

Results
Final energy = -8.45 eV/atom
V = 15.4 A^3/atom
Symmetry = P-62m

Below is a relaxed TbSiPt2 crystal, with properties calculated at the PBE level.

Cell lengths 4.3258, 5.9899, 6.2437 Å; angles 90.00, 90.00, 90.00 degrees
Closest atoms and distances in Å follow each position.
Atoms (fractional coordinates):
Pt 0.5000 0.0582 0.0466  2 Si 2.41-2.45
Pt 0.0000 0.6778 0.3760  2 Si 2.36
Pt 0.5000 0.9418 0.5466  2 Si 2.41-2.45
Pt 0.0000 0.3222 0.8760  2 Si 2.36
Si 0.5000 0.7033 0.2282  4 Pt 2.36-2.45
Si 0.5000 0.2967 0.7282  4 Pt 2.36-2.45
Tb 0.0000 0.2147 0.3492  6 Pt 2.78-3.02
Tb 0.0000 0.7853 0.8492  6 Pt 2.78-3.02

Results
Final energy = -6.42 eV/atom
V = 20.2 A^3/atom
Symmetry = Pmc2_1

Below is a relaxed Tb3Si3Pt2 crystal, with properties calculated at the PBE level.

Cell lengths 5.6237, 5.6237, 14.2358 Å; angles 90.00, 90.00, 135.14 degrees
Closest atoms and distances in Å follow each position.
Atoms (fractional coordinates):
Pt 0.6949 0.3051 0.1011  4 Si 2.49-2.78
Pt 0.6949 0.3051 0.3989  4 Si 2.49-2.78
Pt 0.3051 0.6949 0.6011  4 Si 2.49-2.78
Pt 0.3051 0.6949 0.8989  4 Si 2.49-2.78
Si 0.1129 0.8871 0.0348  3 Pt 2.49-2.78, 1 Si 2.55
Si 0.8322 0.1678 0.2500  2 Pt 2.56
Si 0.1129 0.8871 0.4652  3 Pt 2.49-2.78, 1 Si 2.55
Si 0.8871 0.1129 0.5348  3 Pt 2.49-2.78, 1 Si 2.55
Si 0.1678 0.8322 0.7500  2 Pt 2.56
Si 0.8871 0.1129 0.9652  3 Pt 2.49-2.78, 1 Si 2.55
Tb 0.4084 0.5916 0.1110  4 Pt 2.98-3.21, 7 Si 2.99-3.26
Tb 0.1283 0.8717 0.2500  5 Si 3.02-3.08, 4 Pt 3.09
Tb 0.4084 0.5916 0.3890  4 Pt 2.98-3.21, 7 Si 2.99-3.26
Tb 0.5916 0.4084 0.6110  4 Pt 2.98-3.21, 7 Si 2.99-3.26
Tb 0.8717 0.1283 0.7500  5 Si 3.02-3.08, 4 Pt 3.09
Tb 0.5916 0.4084 0.8890  4 Pt 2.98-3.21, 7 Si 2.99-3.26

Results
Final energy = -6.38 eV/atom
V = 19.8 A^3/atom
Symmetry = Cmcm

Below is a relaxed TbSiPt2 crystal, with properties calculated at the PBE level.

Cell lengths 5.5584, 4.2402, 6.5274 Å; angles 90.00, 90.86, 90.00 degrees
Closest atoms and distances in Å follow each position.
Atoms (fractional coordinates):
Pt 0.3359 0.2500 0.0376  3 Si 2.49-2.53, 1 Pt 2.76
Pt 0.3370 0.2500 0.4603  3 Si 2.48-2.54, 1 Pt 2.76
Pt 0.6630 0.7500 0.5397  3 Si 2.48-2.54, 1 Pt 2.76
Pt 0.6641 0.7500 0.9624  3 Si 2.49-2.53, 1 Pt 2.76
Si 0.3724 0.7500 0.2479  6 Pt 2.48-2.54
Si 0.6276 0.2500 0.7521  6 Pt 2.48-2.54
Tb 0.8573 0.2500 0.2524  8 Pt 2.97-3.21
Tb 0.1427 0.7500 0.7476  8 Pt 2.97-3.21

Results
Final energy = -6.52 eV/atom
V = 19.2 A^3/atom
Symmetry = P2_1/m

Below is a relaxed TbSiPt crystal, with properties calculated at the PBE level.

Cell lengths 5.6925, 4.2284, 10.2616 Å; angles 90.00, 90.00, 90.00 degrees
Closest atoms and distances in Å follow each position.
Atoms (fractional coordinates):
Pt 0.6458 0.7500 0.0508  3 Si 2.39-2.64
Pt 0.1458 0.7500 0.4492  3 Si 2.39-2.64
Pt 0.8542 0.2500 0.5508  3 Si 2.39-2.64
Pt 0.3542 0.2500 0.9492  3 Si 2.39-2.64
Si 0.6237 0.2500 0.1581  3 Pt 2.39-2.64
Si 0.1237 0.2500 0.3419  3 Pt 2.39-2.64
Si 0.8763 0.7500 0.6581  3 Pt 2.39-2.64
Si 0.3763 0.7500 0.8419  3 Pt 2.39-2.64
Tb 0.1341 0.7500 0.1319  4 Pt 2.90-3.09, 2 Si 3.02
Tb 0.6341 0.7500 0.3681  4 Pt 2.90-3.09, 2 Si 3.02
Tb 0.3659 0.2500 0.6319  4 Pt 2.90-3.09, 2 Si 3.02
Tb 0.8659 0.2500 0.8681  4 Pt 2.90-3.09, 2 Si 3.02

Results
Final energy = -6.35 eV/atom
V = 20.6 A^3/atom
Symmetry = Pnma

Below is a relaxed TbSiPt2 crystal, with properties calculated at the PBE level.

Cell lengths 4.0253, 6.5982, 5.5867 Å; angles 90.00, 90.00, 90.00 degrees
Closest atoms and distances in Å follow each position.
Atoms (fractional coordinates):
Pt 0.5000 0.8433 0.1684  3 Si 2.55-2.68, 3 Pt 2.77-2.78
Pt 0.5000 0.2380 0.3424  3 Si 2.51-2.76, 3 Pt 2.77-2.78
Pt 0.0000 0.1567 0.6684  3 Si 2.55-2.68, 3 Pt 2.77-2.78
Pt 0.0000 0.7620 0.8424  3 Si 2.51-2.76, 3 Pt 2.77-2.78
Si 0.0000 0.1080 0.1213  6 Pt 2.51-2.76
Si 0.5000 0.8920 0.6213  6 Pt 2.51-2.76
Tb 0.0000 0.5777 0.3679  6 Pt 2.89-3.18, 2 Si 3.22
Tb 0.5000 0.4223 0.8679  6 Pt 2.89-3.18, 2 Si 3.22

Results
Final energy = -6.50 eV/atom
V = 18.5 A^3/atom
Symmetry = Pmn2_1

Below is a relaxed TbSiPt crystal, with properties calculated at the PBE level.

Cell lengths 7.8634, 7.8634, 3.2467 Å; angles 90.00, 90.00, 120.00 degrees
Closest atoms and distances in Å follow each position.
Atoms (fractional coordinates):
Pt 0.6406 0.0000 0.0000  5 Si 2.83-3.00, 4 Tb 3.07
Pt 0.3594 0.3594 0.0000  5 Si 2.83-3.00, 4 Tb 3.07
Pt 0.0000 0.6406 0.0000  5 Si 2.83-3.00, 4 Tb 3.07
Si 0.0000 0.0000 0.0000  6 Tb 2.82, 3 Pt 2.83
Si 0.6667 0.3333 0.5000  3 Tb 2.79, 6 Pt 3.00
Si 0.3333 0.6667 0.5000  3 Tb 2.79, 6 Pt 3.00
Tb 0.2929 0.0000 0.5000  4 Si 2.79-2.82, 4 Pt 3.07
Tb 0.0000 0.2929 0.5000  4 Si 2.79-2.82, 4 Pt 3.07
Tb 0.7071 0.7071 0.5000  4 Si 2.79-2.82, 4 Pt 3.07

Results
Final energy = -5.90 eV/atom
V = 19.3 A^3/atom
Symmetry = P-62m

Below is a relaxed TbSiPt crystal, with properties calculated at the PBE level.

Cell lengths 7.0541, 4.3034, 7.4878 Å; angles 90.00, 90.00, 90.00 degrees
Closest atoms and distances in Å follow each position.
Atoms (fractional coordinates):
Pt 0.3016 0.2500 0.0853  4 Si 2.51-2.72
Pt 0.8017 0.2500 0.4147  4 Si 2.51-2.72
Pt 0.1984 0.7500 0.5853  4 Si 2.51-2.72
Pt 0.6984 0.7500 0.9147  4 Si 2.51-2.72
Si 0.6875 0.2500 0.0879  4 Pt 2.51-2.72
Si 0.1875 0.2500 0.4121  4 Pt 2.51-2.72
Si 0.8125 0.7500 0.5879  4 Pt 2.51-2.72
Si 0.3125 0.7500 0.9121  4 Pt 2.51-2.72
Tb 0.9964 0.7500 0.2002  6 Si 2.99-3.18, 6 Pt 3.00-3.22
Tb 0.4964 0.7500 0.2998  6 Si 2.99-3.18, 6 Pt 3.00-3.22
Tb 0.5036 0.2500 0.7002  6 Si 2.99-3.18, 6 Pt 3.00-3.22
Tb 0.0036 0.2500 0.7998  6 Si 2.99-3.18, 6 Pt 3.00-3.22

Results
Final energy = -6.56 eV/atom
V = 18.9 A^3/atom
Symmetry = Pnma

Below is a relaxed TbSiPt2 crystal, with properties calculated at the PBE level.

Cell lengths 7.3684, 6.9771, 5.5405 Å; angles 90.00, 90.00, 90.00 degrees
Closest atoms and distances in Å follow each position.
Atoms (fractional coordinates):
Pt 0.6804 0.5509 0.0916  3 Si 2.49-2.63, 1 Pt 2.78
Pt 0.6804 0.9491 0.0916  3 Si 2.49-2.63, 1 Pt 2.78
Pt 0.1804 0.5509 0.4084  3 Si 2.49-2.63, 1 Pt 2.78
Pt 0.1804 0.9491 0.4084  3 Si 2.49-2.63, 1 Pt 2.78
Pt 0.8196 0.0509 0.5916  3 Si 2.49-2.63, 1 Pt 2.78
Pt 0.8196 0.4491 0.5916  3 Si 2.49-2.63, 1 Pt 2.78
Pt 0.3196 0.0509 0.9084  3 Si 2.49-2.63, 1 Pt 2.78
Pt 0.3196 0.4491 0.9084  3 Si 2.49-2.63, 1 Pt 2.78
Si 0.3793 0.7500 0.1368  6 Pt 2.49-2.63
Si 0.8793 0.7500 0.3632  6 Pt 2.49-2.63
Si 0.1207 0.2500 0.6368  6 Pt 2.49-2.63
Si 0.6207 0.2500 0.8632  6 Pt 2.49-2.63
Tb 0.9729 0.2500 0.1359  3 Si 2.97-3.00, 8 Pt 3.00-3.17
Tb 0.4729 0.2500 0.3641  3 Si 2.97-3.00, 8 Pt 3.00-3.17
Tb 0.5271 0.7500 0.6359  3 Si 2.97-3.00, 8 Pt 3.00-3.17
Tb 0.0271 0.7500 0.8641  3 Si 2.97-3.00, 8 Pt 3.00-3.17

Results
Final energy = -6.71 eV/atom
V = 17.8 A^3/atom
Symmetry = Pnma

Below is a relaxed Tb3Si4Pt crystal, with properties calculated at the PBE level.

Cell lengths 5.7143, 3.8368, 7.5709 Å; angles 90.00, 97.94, 90.00 degrees
Closest atoms and distances in Å follow each position.
Atoms (fractional coordinates):
Pt 0.2940 0.5000 0.2430  6 Si 2.45-2.69
Si 0.9392 0.5000 0.0195  1 Pt 2.45, 2 Si 2.47
Si 0.3426 0.0000 0.4528  2 Pt 2.48, 2 Si 2.50
Si 0.6217 0.5000 0.5204  2 Si 2.50, 1 Pt 2.61
Si 0.2034 0.0000 0.9936  2 Si 2.47, 2 Pt 2.69
Tb 0.8247 0.0000 0.2906  6 Si 2.93-3.17
Tb 0.1273 0.5000 0.6692  7 Si 2.90-3.18
Tb 0.6471 0.0000 0.8110  6 Si 2.87-3.05

Results
Final energy = -5.92 eV/atom
V = 20.6 A^3/atom
Symmetry = Pm

Below is a relaxed TbSi4Pt3 crystal, with properties calculated at the PBE level.

Cell lengths 5.5052, 3.8332, 6.5638 Å; angles 90.00, 101.98, 90.00 degrees
Closest atoms and distances in Å follow each position.
Atoms (fractional coordinates):
Pt 0.5929 0.5000 0.1504  4 Si 2.43-2.47
Pt 0.1538 0.0000 0.2998  6 Si 2.43-2.54
Pt 0.8002 0.5000 0.7505  6 Si 2.48-2.61
Si 0.7943 0.0000 0.0136  5 Pt 2.43-2.58, 2 Si 2.68
Si 0.1414 0.5000 0.0647  4 Pt 2.43-2.48, 2 Si 2.68
Si 0.4268 0.5000 0.4653  4 Pt 2.43-2.54
Si 0.7996 0.0000 0.4796  3 Pt 2.48-2.61
Tb 0.2909 0.0000 0.7761  6 Si 2.88-3.00, 1 Pt 3.06

Results
Final energy = -6.17 eV/atom
V = 16.9 A^3/atom
Symmetry = Pm